This record from the Alexandria database describes a crystal of Cd5Ag relaxed with PBEsol. The functional is meta-GGA SCAN.

Computed properties:
Crystal system: monoclinic
N(E_F) in states/eV per cell: 2.281
Calculated formation energy in eV per formula unit: -0.15
Total moment in μB/f.u.: 0.00

Unit cell a=10.902 b=3.094 c=7.113 alpha=90.00 beta=103.16 gamma=90.00
Space group Cm (No. 8)
One atom of each set of equivalent atoms:
1 Cd 0.000 0.000 0.000 (multiplicity 2)
2 Cd 0.052 0.000 0.616 (multiplicity 2)
3 Cd 0.171 0.500 0.346 (multiplicity 2)
4 Cd 0.225 0.500 0.940 (multiplicity 2)
5 Cd 0.389 0.000 0.284 (multiplicity 2)
6 Ag 0.332 0.000 0.668 (multiplicity 2)


This record from the Alexandria database describes a crystal of CdAg relaxed with PBEsol. The functional is meta-GGA SCAN.

Computed properties:
Crystal system: monoclinic
N(E_F) in states/eV per cell: 2.027
Calculated formation energy in eV per formula unit: -0.11
Total moment in μB/f.u.: 0.00

Unit cell a=10.693 b=2.970 c=5.023 alpha=90.00 beta=115.19 gamma=90.00
Space group C2/m (No. 12)
One atom of each set of equivalent atoms:
1 Cd 0.121 0.000 0.296 (multiplicity 4)
2 Ag 0.129 0.500 0.799 (multiplicity 4)